An optimized crystal structure of Ca3SnCl, computed with PBE.

Properties
* uncorrected formation energy: -0.772 eV/atom
* distance to the lowest polymorph of the same formula: 0.0 kJ/mol of formula units
* size of the total moment: 0.0 μB per cell

Cell lengths 5.258, 5.258, 5.258 Å; angles 90.00, 90.00, 90.00 degrees
Space group Pm-3m (No. 221)
Symmetry-distinct sites (fractional):
1 Ca 0.000 0.000 0.500 (multiplicity 3)
2 Sn 0.500 0.500 0.500 (multiplicity 1)
3 Cl 0.000 0.000 0.000 (multiplicity 1)


An optimized crystal structure of TcPd2F, computed with PBE.

Properties
* uncorrected formation energy: 0.249 eV/atom
* distance to the lowest polymorph of the same formula: 0.0 kJ/mol of formula units
* size of the total moment: 8.0 μB per cell

Cell lengths 6.159, 6.159, 6.159 Å; angles 90.00, 90.00, 90.00 degrees
Space group Fm-3m (No. 225)
Symmetry-distinct sites (fractional):
1 Tc 0.000 0.000 0.000 (multiplicity 4)
2 Pd 0.250 0.250 0.250 (multiplicity 8)
3 F 0.000 0.000 0.500 (multiplicity 4)


An optimized crystal structure of HoH4Os, computed with PBE.

Properties
* raw total energy: -5.165 eV/atom
* size of the total moment: 0.0 μB per cell

Cell lengths 4.248, 6.218, 8.314 Å; angles 90.00, 90.00, 90.00 degrees
Space group Cmcm (No. 63)
Symmetry-distinct sites (fractional):
1 Ho 0.000 0.000 0.000 (multiplicity 4)
2 H 0.000 0.353 0.045 (multiplicity 8)
3 H 0.247 0.099 0.250 (multiplicity 8)
4 Os 0.000 0.349 0.250 (multiplicity 4)


Question: size of the total moment of number 3 (HoH4Os)?
Answer: 0.0 μB per cell